Run A
VASP calculation (GGA-PBE) on Li6Ga2Cu after structural relaxation.

## Properties
Crystal system: trigonal
Space-group type: R-3m

abc: 5.1344 5.1364 5.1364
angles: 97.16 97.12 97.12
Positions (direct):
Li 0.1676 0.8323 0.5002
Li 0.8324 0.1677 0.4998
Li 0.5000 0.1677 0.8323
Li 0.5000 0.8323 0.1677
Li 0.8324 0.4998 0.1677
Li 0.1676 0.5002 0.8323
Ga 0.3265 0.3264 0.3264
Ga 0.6735 0.6736 0.6736
Cu 0.0000 0.0000 0.0000


Run B
VASP calculation (GGA-PBE) on Li6Ga2Cu after structural relaxation.

## Properties
Crystal system: monoclinic
Space-group type: C2/m

abc: 3.0363 7.7005 7.7005
angles: 124.85 85.29 85.29
Positions (direct):
Ga 0.5000 0.8506 0.1494
Ga 0.5000 0.1494 0.8506
Cu 0.0000 0.0000 0.0000
Li 0.6566 0.6949 0.6949
Li 0.8166 0.5033 0.1557
Li 0.3434 0.3051 0.3051
Li 0.1834 0.4967 0.8443
Li 0.1834 0.8443 0.4967
Li 0.8166 0.1557 0.5033


Preferred: run A; penalty for the next structure: 50 meV/atom.


Run A
VASP calculation (GGA-PBE) on Li2Ga3Cu after structural relaxation.

## Properties
Crystal system: monoclinic
Space-group type: C2/c

abc: 5.1982 5.1982 7.1251
angles: 100.21 100.21 92.71
Positions (direct):
Li 0.1270 0.6191 0.8731
Li 0.8730 0.3809 0.1269
Li 0.6191 0.1270 0.3731
Li 0.3809 0.8730 0.6269
Ga 0.6936 0.8533 0.9913
Ga 0.3064 0.1467 0.0087
Ga 0.8533 0.6936 0.4913
Ga 0.5914 0.4086 0.7500
Ga 0.4086 0.5914 0.2500
Ga 0.1467 0.3064 0.5087
Cu 0.9177 0.0823 0.7500
Cu 0.0823 0.9177 0.2500


Run B
VASP calculation (GGA-PBE) on Li2Ga3Cu after structural relaxation.

## Properties
Crystal system: orthorhombic
Space-group type: Cmcm

abc: 2.8307 6.5108 11.0827
angles: 90.00 97.34 90.00
Positions (direct):
Li 0.0255 0.2500 0.0510
Li 0.9745 0.7500 0.9490
Li 0.8367 0.2500 0.6734
Li 0.1633 0.7500 0.3266
Cu 0.3673 0.7500 0.7346
Cu 0.6327 0.2500 0.2654
Ga 0.5648 0.5542 0.1297
Ga 0.2279 0.2500 0.4559
Ga 0.4352 0.4458 0.8703
Ga 0.4352 0.0542 0.8703
Ga 0.7721 0.7500 0.5441
Ga 0.5648 0.9458 0.1297


Preferred: run A; penalty for the next structure: 151 meV/atom.


Run A
VASP calculation (GGA-PBE) on Li6GaCu2 after structural relaxation.

## Properties
Crystal system: trigonal
Space-group type: R-3m

abc: 4.4817 4.4817 8.9599
angles: 75.52 75.52 60.00
Positions (direct):
Li 0.8074 0.8074 0.5778
Li 0.4160 0.4160 0.7519
Li 0.5840 0.5840 0.2481
Li 0.6986 0.6986 0.9041
Li 0.3014 0.3014 0.0959
Li 0.1926 0.1926 0.4222
Cu 0.0916 0.0916 0.7252
Cu 0.9084 0.9084 0.2748
Ga 0.0000 0.0000 0.0000


Run B
VASP calculation (GGA-PBE) on Li6GaCu2 after structural relaxation.

## Properties
Crystal system: monoclinic
Space-group type: C2/m

abc: 4.2691 5.1327 7.0445
angles: 113.19 107.64 90.00
Positions (direct):
Li 0.3992 0.8663 0.7984
Li 0.2802 0.1719 0.5604
Li 0.7198 0.8281 0.4396
Li 0.1472 0.4734 0.2943
Li 0.8528 0.5266 0.7057
Li 0.6008 0.1337 0.2016
Cu 0.9463 0.1730 0.8926
Cu 0.0537 0.8270 0.1074
Ga 0.5000 0.5000 0.0000


Preferred: run B; penalty for the next structure: 37 meV/atom.


Run A
VASP calculation (GGA-PBE) on Li3Ga4Cu after structural relaxation.

## Properties
Crystal system: orthorhombic
Space-group type: Immm

abc: 4.2056 3.0838 10.3767
angles: 98.54 101.69 90.00
Positions (direct):
Ga 0.5941 0.5942 0.1882
Ga 0.7217 0.7222 0.4434
Ga 0.4059 0.4058 0.8118
Ga 0.2783 0.2778 0.5566
Li 0.8587 0.8590 0.7174
Li 0.1413 0.1410 0.2826
Li 0.0000 0.5000 0.0000
Cu 0.5000 0.0000 0.0000


Run B
VASP calculation (GGA-PBE) on Li3Ga4Cu after structural relaxation.

## Properties
Crystal system: monoclinic
Space-group type: C2/m

abc: 3.9412 3.9420 8.2721
angles: 103.61 103.78 90.00
Positions (direct):
Li 0.0000 0.5000 0.0000
Li 0.7528 0.2531 0.5056
Li 0.2472 0.7469 0.4944
Ga 0.8821 0.8825 0.7642
Ga 0.1179 0.1175 0.2358
Ga 0.3821 0.3821 0.7642
Ga 0.6179 0.6179 0.2358
Cu 0.5000 0.0000 0.0000


Preferred: run B; penalty for the next structure: 41 meV/atom.


Run A
VASP calculation (GGA-PBE) on Li4GaCu after structural relaxation.

## Properties
Crystal system: orthorhombic
Space-group type: Cmcm

abc: 7.9650 7.9650 4.4623
angles: 90.00 90.00 142.42
Positions (direct):
Li 0.0413 0.4575 0.7500
Li 0.5425 0.9587 0.7500
Li 0.4575 0.0413 0.2500
Li 0.9587 0.5425 0.2500
Li 0.2890 0.2071 0.2500
Li 0.7110 0.7929 0.7500
Li 0.7929 0.7110 0.2500
Li 0.2071 0.2890 0.7500
Ga 0.1261 0.8739 0.7500
Ga 0.8739 0.1261 0.2500
Cu 0.6240 0.3760 0.7500
Cu 0.3760 0.6240 0.2500


Run B
VASP calculation (GGA-PBE) on Li4GaCu after structural relaxation.

## Properties
Crystal system: monoclinic
Space-group type: C2/m

abc: 4.7967 6.5200 7.5873
angles: 115.45 109.52 90.00
Positions (direct):
Li 0.0000 0.1793 0.0000
Li 0.3646 0.0965 0.7357
Li 0.1751 0.6787 0.3574
Li 0.0000 0.8207 0.0000
Li 0.6354 0.9035 0.2643
Li 0.8249 0.3213 0.6426
Li 0.6354 0.3608 0.2643
Li 0.3646 0.6392 0.7357
Cu 0.7419 0.4980 0.9959
Cu 0.2581 0.5020 0.0041
Ga 0.2023 0.1980 0.3960
Ga 0.7977 0.8020 0.6040


Preferred: run A; penalty for the next structure: 82 meV/atom.